[1]
Computed, not measured: a geometry-optimized AlFeHIr2 structure at the PBE level of DFT.

Cell lengths 3.975, 3.975, 3.623 Å; angles 90.00, 90.00, 90.00 degrees
Space group P4/mmm (No. 123)
One atom of each set of equivalent atoms:
1 Al 0.000 0.000 0.000 [1 per cell]
2 Fe 0.500 0.500 0.000 [1 per cell]
3 H 0.500 0.500 0.500 [1 per cell]
4 Ir 0.000 0.500 0.500 [2 per cell]

Summary:
Magnetic moment: 2.74 μB/f.u.
Uncorrected energy: -0.5056 Ry per atom
DOS(E_F): 5.33 states/eV/cell

***

[2]
Computed, not measured: a geometry-optimized GaPtIN2 structure at the PBE level of DFT.

Cell lengths 3.909, 3.909, 8.104 Å; angles 90.00, 90.00, 90.00 degrees
Space group P4/mmm (No. 123)
One atom of each set of equivalent atoms:
1 Ga 0.000 0.000 0.000 [1 per cell]
2 Pt 0.500 0.500 0.500 [1 per cell]
3 I 0.500 0.500 0.000 [1 per cell]
4 N 0.000 0.500 0.500 [2 per cell]

Summary:
Magnetic moment: 0.00 μB/f.u.
Uncorrected energy: -0.3185 Ry per atom
DOS(E_F): 4.02 states/eV/cell
Distance to the lowest polymorph of the same formula: 0.000 eV/atom

***

[3]
Computed, not measured: a geometry-optimized PrDy structure at the PBE level of DFT.

Cell lengths 4.085, 4.085, 4.085 Å; angles 90.00, 90.00, 90.00 degrees
Space group Pm-3m (No. 221)
One atom of each set of equivalent atoms:
1 Pr 0.000 0.000 0.000 [1 per cell]
2 Dy 0.500 0.500 0.500 [1 per cell]

Summary:
Magnetic moment: 0.00 μB/f.u.
Calculated formation energy: 0.111 eV/atom
Uncorrected energy: -0.3366 Ry per atom
DOS(E_F): 4.24 states/eV/cell
Distance to the lowest polymorph of the same formula: 0.100 eV/atom

***

[4]
Computed, not measured: a geometry-optimized YRe3Ni structure at the PBE level of DFT.

Cell lengths 4.760, 4.760, 4.760 Å; angles 90.00, 90.00, 90.00 degrees
Space group Pm-3m (No. 221)
One atom of each set of equivalent atoms:
1 Y 0.000 0.000 0.000 [1 per cell]
2 Re 0.000 0.000 0.500 [3 per cell]
3 Ni 0.500 0.500 0.500 [1 per cell]

Summary:
Magnetic moment: 0.00 μB/f.u.
Calculated formation energy: 3.372 eV/atom
Uncorrected energy: -0.4811 Ry per atom
DOS(E_F): 9.13 states/eV/cell
Distance to the lowest polymorph of the same formula: 2.123 eV/atom

***

[5]
Computed, not measured: a geometry-optimized Li2SmGe2Au2 structure at the PBE level of DFT.

Cell lengths 4.3908, 4.3908, 23.4406 Å; angles 90.00, 90.00, 120.00 degrees
Space group R-3m (No. 166, hexagonal axes)
One atom of each set of equivalent atoms:
1 Li 0.0000 0.0000 0.1420 [6 per cell]
2 Sm 0.0000 0.0000 0.0000 [3 per cell]
3 Ge 0.0000 0.0000 0.2573 [6 per cell]
4 Au 0.0000 0.0000 0.4315 [6 per cell]

Summary:
Magnetic moment: 0.00 μB/f.u.
Calculated formation energy: -0.611 eV/atom
Uncorrected energy: -0.3004 Ry per atom
DOS(E_F): 7.87 states/eV/cell

***

[6]
Computed, not measured: a geometry-optimized NbRh3Au structure at the PBE level of DFT.

Cell lengths 4.693, 4.693, 4.693 Å; angles 90.00, 90.00, 90.00 degrees
Space group Pm-3m (No. 221)
One atom of each set of equivalent atoms:
1 Nb 0.000 0.000 0.000 [1 per cell]
2 Rh 0.000 0.000 0.500 [3 per cell]
3 Au 0.500 0.500 0.500 [1 per cell]

Summary:
Magnetic moment: 0.00 μB/f.u.
Calculated formation energy: 0.962 eV/atom
Uncorrected energy: -0.4497 Ry per atom
DOS(E_F): 2.34 states/eV/cell
Distance to the lowest polymorph of the same formula: 0.000 eV/atom

***

[7]
Computed, not measured: a geometry-optimized LiZrTlS2 structure at the PBE level of DFT.

Cell lengths 4.999, 4.999, 5.605 Å; angles 90.00, 90.00, 90.00 degrees
Space group P4/mmm (No. 123)
One atom of each set of equivalent atoms:
1 Li 0.000 0.000 0.000 [1 per cell]
2 Zr 0.000 0.000 0.500 [1 per cell]
3 Tl 0.500 0.500 0.000 [1 per cell]
4 S 0.000 0.500 0.500 [2 per cell]

Summary:
Magnetic moment: 0.00 μB/f.u.
Uncorrected energy: -0.3426 Ry per atom
DOS(E_F): 0.38 states/eV/cell

***

[8]
Computed, not measured: a geometry-optimized Mg3SnAu structure at the PBE level of DFT.

Cell lengths 5.089, 5.089, 5.089 Å; angles 90.00, 90.00, 90.00 degrees
Space group Pm-3m (No. 221)
One atom of each set of equivalent atoms:
1 Mg 0.000 0.000 0.500 [3 per cell]
2 Sn 0.500 0.500 0.500 [1 per cell]
3 Au 0.000 0.000 0.000 [1 per cell]

Summary:
Magnetic moment: 0.00 μB/f.u.
Calculated formation energy: -0.100 eV/atom
Uncorrected energy: -0.1847 Ry per atom
DOS(E_F): 2.81 states/eV/cell
Distance to the lowest polymorph of the same formula: 0.218 eV/atom